# CuW2Br6

Crystalline CuW2Br6 at its relaxed geometry (PBE-GGA, Alexandria via LeMat-Bulk).

Calculated values
Energy relative to the elements, uncorrected, eV/atom: -0.024
Space group: Ibam (72)

Cell: 10.051 10.051 10.051 Å, 151.01 100.27 86.96°
Atoms (fractional coordinates):
Cu 0.250 0.250 0.000
Cu 0.750 0.750 0.000
W 0.208 0.207 0.415
W 0.292 0.707 0.999
W 0.708 0.293 0.001
W 0.792 0.793 0.585
Br 0.024 0.909 0.613
Br 0.100 0.753 0.853
Br 0.204 0.591 0.115
Br 0.296 0.411 0.387
Br 0.400 0.253 0.653
Br 0.476 0.089 0.885
Br 0.524 0.911 0.115
Br 0.600 0.747 0.347
Br 0.704 0.589 0.613
Br 0.796 0.409 0.885
Br 0.900 0.247 0.147
Br 0.976 0.091 0.387

---

# CuWBr

Crystalline CuWBr at its relaxed geometry (PBE-GGA, Alexandria via LeMat-Bulk).

Calculated values
Energy relative to the elements, uncorrected, eV/atom: 0.747
Energy above the most stable polymorph in this dataset, kJ/mol of formula units: 30.8
Space group: I4mm (107)

Cell: 2.987 2.987 13.161 Å, 90.00 90.00 90.00°
Atoms (fractional coordinates):
Cu 0.000 0.000 0.000
Cu 0.500 0.500 0.500
W 0.000 0.000 0.381
W 0.500 0.500 0.881
Br 0.000 0.000 0.748
Br 0.500 0.500 0.248

---

# CuWBr

Crystalline CuWBr at its relaxed geometry (PBE-GGA, Alexandria via LeMat-Bulk).

Calculated values
Energy relative to the elements, uncorrected, eV/atom: 1.048
Energy above the most stable polymorph in this dataset, kJ/mol of formula units: 118.1
Space group: P-6m2 (187)

Cell: 4.444 4.444 2.882 Å, 90.00 90.00 120.00°
Atoms (fractional coordinates):
Cu 0.000 0.000 0.000
W 0.667 0.333 0.500
Br 0.333 0.667 0.500

---

# CuWBr

Crystalline CuWBr at its relaxed geometry (PBE-GGA, Alexandria via LeMat-Bulk).

Calculated values
Energy relative to the elements, uncorrected, eV/atom: 0.640
Energy above the most stable polymorph in this dataset, kJ/mol of formula units: 0.0
Space group: P3m1 (156)

Cell: 3.055 3.055 6.445 Å, 90.00 90.00 120.00°
Atoms (fractional coordinates):
Cu 0.000 0.000 0.000
W 0.667 0.333 0.302
Br 0.333 0.667 0.608

---

# YCuBr

Crystalline YCuBr at its relaxed geometry (PBE-GGA, Alexandria via LeMat-Bulk).

Calculated values
Energy relative to the elements, uncorrected, eV/atom: -0.493
Space group: P3m1 (156)

Cell: 3.818 3.818 6.634 Å, 90.00 90.00 120.00°
Atoms (fractional coordinates):
Y 0.000 0.000 0.000
Cu 0.667 0.333 0.738
Br 0.333 0.667 0.292

---

# YCu2Br

Crystalline YCu2Br at its relaxed geometry (PBE-GGA, Alexandria via LeMat-Bulk).

Calculated values
Energy relative to the elements, uncorrected, eV/atom: 0.114
Energy above the most stable polymorph in this dataset, kJ/mol of formula units: 216.8
Space group: Fm-3m (225)

Cell: 6.883 6.883 6.883 Å, 90.00 90.00 90.00°
Atoms (fractional coordinates):
Y 0.000 0.000 0.000
Y 0.000 0.500 0.500
Y 0.500 0.000 0.500
Y 0.500 0.500 0.000
Cu 0.250 0.250 0.250
Cu 0.250 0.250 0.750
Cu 0.250 0.750 0.250
Cu 0.250 0.750 0.750
Cu 0.750 0.250 0.250
Cu 0.750 0.250 0.750
Cu 0.750 0.750 0.250
Cu 0.750 0.750 0.750
Br 0.000 0.000 0.500
Br 0.000 0.500 0.000
Br 0.500 0.000 0.000
Br 0.500 0.500 0.500

---

# Y2Cu2Br

Crystalline Y2Cu2Br at its relaxed geometry (PBE-GGA, Alexandria via LeMat-Bulk).

Calculated values
Energy relative to the elements, uncorrected, eV/atom: -0.343
Energy above the most stable polymorph in this dataset, kJ/mol of formula units: 38.0
Space group: P4/mbm (127)

Cell: 7.818 7.818 3.683 Å, 90.00 90.00 90.00°
Atoms (fractional coordinates):
Y 0.166 0.334 0.000
Y 0.334 0.834 0.000
Y 0.666 0.166 0.000
Y 0.834 0.666 0.000
Cu 0.116 0.616 0.500
Cu 0.384 0.116 0.500
Cu 0.616 0.884 0.500
Cu 0.884 0.384 0.500
Br 0.000 0.000 0.500
Br 0.500 0.500 0.500

---

# YCu2Br

Crystalline YCu2Br at its relaxed geometry (PBE-GGA, Alexandria via LeMat-Bulk).

Calculated values
Energy relative to the elements, uncorrected, eV/atom: -0.095
Energy above the most stable polymorph in this dataset, kJ/mol of formula units: 136.1
Space group: P4/mmm (123)

Cell: 3.789 3.789 5.845 Å, 90.00 90.00 90.00°
Atoms (fractional coordinates):
Y 0.000 0.000 0.000
Cu 0.500 0.500 0.217
Cu 0.500 0.500 0.783
Br 0.000 0.000 0.500

---

# YCu2Br6

Crystalline YCu2Br6 at its relaxed geometry (PBE-GGA, Alexandria via LeMat-Bulk).

Calculated values
Energy relative to the elements, uncorrected, eV/atom: -0.981
Energy above the most stable polymorph in this dataset, kJ/mol of formula units: 0.0
Space group: C2/c (15)

Cell: 9.979 9.979 7.065 Å, 107.62 107.62 80.55°
Atoms (fractional coordinates):
Y 0.087 0.913 0.750
Y 0.913 0.087 0.250
Cu 0.343 0.524 0.841
Cu 0.476 0.657 0.659
Cu 0.524 0.343 0.341
Cu 0.657 0.476 0.159
Br 0.052 0.182 0.671
Br 0.118 0.650 0.837
Br 0.182 0.052 0.171
Br 0.322 0.457 0.463
Br 0.350 0.882 0.663
Br 0.457 0.322 0.963
Br 0.543 0.678 0.037
Br 0.650 0.118 0.337
Br 0.678 0.543 0.537
Br 0.818 0.948 0.829
Br 0.882 0.350 0.163
Br 0.948 0.818 0.329

---

# YCuBr6

Crystalline YCuBr6 at its relaxed geometry (PBE-GGA, Alexandria via LeMat-Bulk).

Calculated values
Energy relative to the elements, uncorrected, eV/atom: -0.922
Space group: P-1 (2)

Cell: 5.774 7.141 7.855 Å, 70.43 73.67 85.73°
Atoms (fractional coordinates):
Y 0.000 0.000 0.000
Cu 0.500 0.500 0.000
Br 0.027 0.813 0.356
Br 0.275 0.369 0.847
Br 0.421 0.824 0.819
Br 0.579 0.176 0.181
Br 0.725 0.631 0.153
Br 0.973 0.187 0.644

---

# YCu2Br6

Crystalline YCu2Br6 at its relaxed geometry (PBE-GGA, Alexandria via LeMat-Bulk).

Calculated values
Energy relative to the elements, uncorrected, eV/atom: -0.968
Energy above the most stable polymorph in this dataset, kJ/mol of formula units: 11.4
Space group: C2/c (15)

Cell: 9.572 9.572 6.893 Å, 95.81 95.81 79.35°
Atoms (fractional coordinates):
Y 0.096 0.904 0.750
Y 0.904 0.096 0.250
Cu 0.308 0.456 0.737
Cu 0.456 0.308 0.237
Cu 0.544 0.692 0.763
Cu 0.692 0.544 0.263
Br 0.039 0.180 0.611
Br 0.128 0.627 0.874
Br 0.180 0.039 0.111
Br 0.284 0.469 0.394
Br 0.373 0.872 0.626
Br 0.469 0.284 0.894
Br 0.531 0.716 0.106
Br 0.627 0.128 0.374
Br 0.716 0.531 0.606
Br 0.820 0.961 0.889
Br 0.872 0.373 0.126
Br 0.961 0.820 0.389

---

# YCuBr

Crystalline YCuBr at its relaxed geometry (PBE-GGA, Alexandria via LeMat-Bulk).

Calculated values
Energy relative to the elements, uncorrected, eV/atom: -0.471
Space group: I4mm (107)

Cell: 3.497 3.497 12.748 Å, 90.00 90.00 90.00°
Atoms (fractional coordinates):
Y 0.000 0.000 0.000
Y 0.500 0.500 0.500
Cu 0.000 0.000 0.373
Cu 0.500 0.500 0.873
Br 0.000 0.000 0.641
Br 0.500 0.500 0.141

---

# YCu2Br

Crystalline YCu2Br at its relaxed geometry (PBE-GGA, Alexandria via LeMat-Bulk).

Calculated values
Energy relative to the elements, uncorrected, eV/atom: -0.116
Energy above the most stable polymorph in this dataset, kJ/mol of formula units: 127.7
Space group: Pmmm (47)

Cell: 4.005 4.016 4.913 Å, 90.00 90.00 90.00°
Atoms (fractional coordinates):
Y 0.000 0.000 0.000
Cu 0.000 0.500 0.500
Cu 0.500 0.000 0.500
Br 0.500 0.500 0.000

---

# YCuBr3

Crystalline YCuBr3 at its relaxed geometry (PBE-GGA, Alexandria via LeMat-Bulk).

Calculated values
Energy relative to the elements, uncorrected, eV/atom: -0.473
Space group: Pm-3m (221)

Cell: 5.048 5.048 5.048 Å, 90.00 90.00 90.00°
Atoms (fractional coordinates):
Y 0.000 0.000 0.000
Cu 0.500 0.500 0.500
Br 0.000 0.500 0.500
Br 0.500 0.000 0.500
Br 0.500 0.500 0.000

---

# YCuBr

Crystalline YCuBr at its relaxed geometry (PBE-GGA, Alexandria via LeMat-Bulk).

Calculated values
Energy relative to the elements, uncorrected, eV/atom: -0.288
Space group: P-6m2 (187)

Cell: 4.861 4.861 3.610 Å, 90.00 90.00 120.00°
Atoms (fractional coordinates):
Y 0.000 0.000 0.000
Cu 0.333 0.667 0.500
Br 0.667 0.333 0.000

---

# YCu2Br

Crystalline YCu2Br at its relaxed geometry (PBE-GGA, Alexandria via LeMat-Bulk).

Calculated values
Energy relative to the elements, uncorrected, eV/atom: -0.308
Energy above the most stable polymorph in this dataset, kJ/mol of formula units: 53.7
Space group: P4mm (99)

Cell: 3.411 3.411 7.702 Å, 90.00 90.00 90.00°
Atoms (fractional coordinates):
Y 0.000 0.000 0.000
Cu 0.000 0.000 0.650
Cu 0.500 0.500 0.754
Br 0.500 0.500 0.236

---

# YCu2Br

Crystalline YCu2Br at its relaxed geometry (PBE-GGA, Alexandria via LeMat-Bulk).

Calculated values
Energy relative to the elements, uncorrected, eV/atom: -0.184
Energy above the most stable polymorph in this dataset, kJ/mol of formula units: 101.6
Space group: P2/m (10)

Cell: 4.966 3.768 4.984 Å, 90.00 113.89 90.00°
Atoms (fractional coordinates):
Y 0.000 0.000 0.000
Cu 0.264 0.500 0.738
Cu 0.736 0.500 0.262
Br 0.500 0.000 0.500

---

# YCu2Br

Crystalline YCu2Br at its relaxed geometry (PBE-GGA, Alexandria via LeMat-Bulk).

Calculated values
Energy relative to the elements, uncorrected, eV/atom: -0.140
Energy above the most stable polymorph in this dataset, kJ/mol of formula units: 118.4
Space group: C2/m (12)

Cell: 11.075 3.497 4.497 Å, 90.00 113.75 90.00°
Atoms (fractional coordinates):
Y 0.000 0.000 0.000
Y 0.500 0.500 0.000
Cu 0.244 0.500 0.241
Cu 0.256 0.000 0.759
Cu 0.744 0.000 0.241
Cu 0.756 0.500 0.759
Br 0.000 0.500 0.500
Br 0.500 0.000 0.500

---

# YCu2Br

Crystalline YCu2Br at its relaxed geometry (PBE-GGA, Alexandria via LeMat-Bulk).

Calculated values
Energy relative to the elements, uncorrected, eV/atom: -0.314
Energy above the most stable polymorph in this dataset, kJ/mol of formula units: 51.6
Space group: Pm (6)

Cell: 3.407 3.413 7.520 Å, 90.00 103.05 90.00°
Atoms (fractional coordinates):
Y 0.000 0.000 0.000
Cu 0.374 0.500 0.746
Cu 0.816 0.000 0.630
Br 0.626 0.500 0.253

---

# YCu4Br

Crystalline YCu4Br at its relaxed geometry (PBE-GGA, Alexandria via LeMat-Bulk).

Calculated values
Energy relative to the elements, uncorrected, eV/atom: -0.032
Space group: F-43m (216)

Cell: 5.222 5.222 5.222 Å, 60.00 60.00 60.00°
Atoms (fractional coordinates):
Y 0.000 0.000 0.000
Cu 0.375 0.375 0.375
Cu 0.375 0.375 0.874
Cu 0.375 0.874 0.375
Cu 0.874 0.375 0.375
Br 0.750 0.750 0.750

---

# YCuBr

Crystalline YCuBr at its relaxed geometry (PBE-GGA, Alexandria via LeMat-Bulk).

Calculated values
Energy relative to the elements, uncorrected, eV/atom: -0.104
Space group: F-43m (216)

Cell: 6.690 6.690 6.690 Å, 90.00 90.00 90.00°
Atoms (fractional coordinates):
Y 0.000 0.000 0.000
Y 0.000 0.500 0.500
Y 0.500 0.000 0.500
Y 0.500 0.500 0.000
Cu 0.250 0.250 0.250
Cu 0.250 0.750 0.750
Cu 0.750 0.250 0.750
Cu 0.750 0.750 0.250
Br 0.000 0.000 0.500
Br 0.000 0.500 0.000
Br 0.500 0.000 0.000
Br 0.500 0.500 0.500

---

# YCu2Br8

Crystalline YCu2Br8 at its relaxed geometry (PBE-GGA, Alexandria via LeMat-Bulk).

Calculated values
Energy relative to the elements, uncorrected, eV/atom: -0.776
Space group: C2/m (12)

Cell: 8.167 8.167 6.651 Å, 102.31 102.31 92.85°
Atoms (fractional coordinates):
Y 0.000 0.000 0.000
Cu 0.194 0.194 0.674
Cu 0.806 0.806 0.326
Br 0.054 0.732 0.198
Br 0.232 0.232 0.342
Br 0.268 0.946 0.802
Br 0.427 0.427 0.819
Br 0.573 0.573 0.181
Br 0.732 0.054 0.198
Br 0.768 0.768 0.658
Br 0.946 0.268 0.802

---

# YCu2Br

Crystalline YCu2Br at its relaxed geometry (PBE-GGA, Alexandria via LeMat-Bulk).

Calculated values
Energy relative to the elements, uncorrected, eV/atom: -0.027
Energy above the most stable polymorph in this dataset, kJ/mol of formula units: 162.0
Space group: R-3m (166)

Cell: 3.771 3.771 22.071 Å, 90.00 90.00 120.00°
Atoms (fractional coordinates):
Y 0.000 0.000 0.000
Y 0.333 0.667 0.667
Y 0.667 0.333 0.333
Cu 0.000 0.000 0.246
Cu 0.000 0.000 0.754
Cu 0.333 0.667 0.421
Cu 0.333 0.667 0.913
Cu 0.667 0.333 0.087
Cu 0.667 0.333 0.579
Br 0.000 0.000 0.500
Br 0.333 0.667 0.167
Br 0.667 0.333 0.833

---

# YCu2Br

Crystalline YCu2Br at its relaxed geometry (PBE-GGA, Alexandria via LeMat-Bulk).

Calculated values
Energy relative to the elements, uncorrected, eV/atom: -0.447
Energy above the most stable polymorph in this dataset, kJ/mol of formula units: 0.0
Space group: Cm (8)

Cell: 7.112 4.108 6.674 Å, 90.00 90.31 90.00°
Atoms (fractional coordinates):
Y 0.000 0.000 0.000
Y 0.500 0.500 0.000
Cu 0.165 0.500 0.762
Cu 0.332 0.000 0.722
Cu 0.665 0.000 0.762
Cu 0.832 0.500 0.722
Br 0.335 0.000 0.278
Br 0.835 0.500 0.278

---

# YCu2Br

Crystalline YCu2Br at its relaxed geometry (PBE-GGA, Alexandria via LeMat-Bulk).

Calculated values
Energy relative to the elements, uncorrected, eV/atom: -0.123
Energy above the most stable polymorph in this dataset, kJ/mol of formula units: 125.1
Space group: I-4m2 (119)

Cell: 4.781 4.781 6.915 Å, 90.00 90.00 90.00°
Atoms (fractional coordinates):
Y 0.000 0.000 0.000
Y 0.500 0.500 0.500
Cu 0.000 0.000 0.500
Cu 0.000 0.500 0.250
Cu 0.500 0.000 0.750
Cu 0.500 0.500 0.000
Br 0.000 0.500 0.750
Br 0.500 0.000 0.250

---

# YCuBr

Crystalline YCuBr at its relaxed geometry (PBE-GGA, Alexandria via LeMat-Bulk).

Calculated values
Energy relative to the elements, uncorrected, eV/atom: -0.823
Space group: C2/m (12)

Cell: 6.717 3.878 12.608 Å, 90.00 100.42 90.00°
Atoms (fractional coordinates):
Y 0.101 0.000 0.309
Y 0.399 0.500 0.691
Y 0.601 0.500 0.309
Y 0.899 0.000 0.691
Cu 0.183 0.000 0.548
Cu 0.317 0.500 0.452
Cu 0.683 0.500 0.548
Cu 0.817 0.000 0.452
Br 0.117 0.500 0.845
Br 0.383 0.000 0.155
Br 0.617 0.000 0.845
Br 0.883 0.500 0.155

---

# YCu2Br

Crystalline YCu2Br at its relaxed geometry (PBE-GGA, Alexandria via LeMat-Bulk).

Calculated values
Energy relative to the elements, uncorrected, eV/atom: -0.445
Energy above the most stable polymorph in this dataset, kJ/mol of formula units: 1.0
Space group: R3m (160)

Cell: 4.113 4.113 20.819 Å, 90.00 90.00 120.00°
Atoms (fractional coordinates):
Y 0.000 0.000 0.000
Y 0.333 0.667 0.667
Y 0.667 0.333 0.333
Cu 0.000 0.000 0.255
Cu 0.000 0.000 0.580
Cu 0.333 0.667 0.247
Cu 0.333 0.667 0.922
Cu 0.667 0.333 0.589
Cu 0.667 0.333 0.914
Br 0.000 0.000 0.755
Br 0.333 0.667 0.421
Br 0.667 0.333 0.088